[1]
VASP calculation (PBE) on a geometry-optimized Rb2TcBrCl6 structure.

The structure belongs to space group I4/mmm (No. 139); the cell edges are 7.8161, 7.8161 and 11.1423 Å and the angles 90.00°, 90.00° and 90.00°. Symmetry generates all atoms from Rb at (0.0000, 0.5000, 0.2500), Tc at (0.0000, 0.0000, 0.0000), Br at (0.0000, 0.0000, 0.5000), Cl at (0.0000, 0.0000, 0.2130) and Cl at (0.2148, 0.2148, 0.0000).

Its raw total energy is -71.1 eV per cell. For the formation energy (no corrections), the calculation gives -24.16 kcal/mol of atoms. As for the polymorph energy (0 for the lowest one): 0.084 eV per atom. The density of states at the Fermi level comes out at 0.62 states/eV per atom. As for the crystal system: tetragonal.


[2]
VASP calculation (PBE) on a geometry-optimized PrNd3Sm3Se8 structure.

The structure belongs to space group R-3m (No. 166, hexagonal axes); the cell edges are 8.3785, 8.3785 and 20.5652 Å and the angles 90.00°, 90.00° and 120.00°. Symmetry generates all atoms from Pr at (0.0000, 0.0000, 0.0000), Nd at (0.0000, 0.5000, 0.5000), Sm at (0.0000, 0.5000, 0.0000), Se at (0.0000, 0.0000, 0.2516) and Se at (0.0097, 0.5048, 0.2492).

Its raw total energy is -267.4 eV per cell. For the formation energy (no corrections), the calculation gives -43.09 kcal/mol of atoms. The density of states at the Fermi level comes out at 0.45 states/eV per atom. As for the crystal system: trigonal.


[3]
VASP calculation (PBE) on a geometry-optimized AsRu2S2 structure.

The structure belongs to space group P4/mbm (No. 127); the cell edges are 7.3126, 7.3126 and 2.9427 Å and the angles 90.00°, 90.00° and 90.00°. Symmetry generates all atoms from As at (0.0000, 0.0000, 0.0000), Ru at (0.1969, 0.3031, 0.5000) and S at (0.1361, 0.6361, 0.0000).

Its raw total energy is -58.7 eV per cell. For the formation energy (no corrections), the calculation gives 9.70 kcal/mol of atoms. As for the polymorph energy (0 for the lowest one): 0.285 eV per atom. The density of states at the Fermi level comes out at 0.90 states/eV per atom. As for the crystal system: tetragonal.